[1]
Density functional theory data (PBE) for a relaxed structure of Gd3TaO7.

Lattice parameters (Å, degrees): 6.486 6.486 7.501 90.00 90.00 109.16
Element x y z (fractional)
1 Gd 0.028 0.028 0.000
2 Gd 0.036 0.499 0.256
3 Gd 0.499 0.036 0.744
4 Gd 0.501 0.964 0.244
5 Gd 0.964 0.501 0.756
6 Gd 0.972 0.972 0.500
7 Ta 0.497 0.497 0.500
8 Ta 0.503 0.503 0.000
9 O 0.130 0.870 0.750
10 O 0.137 0.863 0.250
11 O 0.174 0.420 0.973
12 O 0.188 0.443 0.540
13 O 0.420 0.174 0.027
14 O 0.434 0.566 0.250
15 O 0.443 0.188 0.460
16 O 0.557 0.812 0.960
17 O 0.566 0.434 0.750
18 O 0.580 0.826 0.527
19 O 0.812 0.557 0.040
20 O 0.826 0.580 0.473
21 O 0.863 0.137 0.750
22 O 0.870 0.130 0.250

DFT total energy: -195.74 eV/cell

---

[2]
Density functional theory data (PBE) for a relaxed structure of Gd2Ta2O5.

Lattice parameters (Å, degrees): 4.016 4.016 7.104 90.00 90.00 90.00
Element x y z (fractional)
1 Gd 0.000 0.000 0.000
2 Gd 0.000 0.000 0.500
3 Ta 0.500 0.500 0.197
4 Ta 0.500 0.500 0.803
5 O 0.000 0.500 0.250
6 O 0.000 0.500 0.750
7 O 0.500 0.000 0.250
8 O 0.500 0.000 0.750
9 O 0.500 0.500 0.500

DFT total energy: -79.56 eV/cell

---

[3]
Density functional theory data (PBE) for a relaxed structure of GdTa2O4.

Lattice parameters (Å, degrees): 6.424 6.424 6.424 60.00 60.00 60.00
Element x y z (fractional)
1 Gd 0.125 0.125 0.125
2 Gd 0.875 0.875 0.875
3 Ta 0.000 0.500 0.500
4 Ta 0.500 0.000 0.500
5 Ta 0.500 0.500 0.000
6 Ta 0.500 0.500 0.500
7 O 0.261 0.261 0.261
8 O 0.261 0.261 0.717
9 O 0.261 0.717 0.261
10 O 0.283 0.739 0.739
11 O 0.717 0.261 0.261
12 O 0.739 0.283 0.739
13 O 0.739 0.739 0.283
14 O 0.739 0.739 0.739

DFT total energy: -125.25 eV/cell

---

[4]
Density functional theory data (PBE) for a relaxed structure of Gd2Ta2O5.

Lattice parameters (Å, degrees): 3.478 3.478 10.047 90.00 90.00 90.00
Element x y z (fractional)
1 Gd 0.000 0.000 0.234
2 Gd 0.000 0.000 0.766
3 Ta 0.500 0.500 0.000
4 Ta 0.500 0.500 0.500
5 O 0.000 0.000 0.000
6 O 0.000 0.500 0.381
7 O 0.000 0.500 0.619
8 O 0.500 0.000 0.381
9 O 0.500 0.000 0.619

DFT total energy: -77.64 eV/cell

---

[5]
Density functional theory data (PBE) for a relaxed structure of Gd3Ta2O6.

Lattice parameters (Å, degrees): 9.835 9.835 9.835 156.68 156.68 33.21
Element x y z (fractional)
1 Gd 0.000 0.000 0.000
2 Gd 0.181 0.181 0.000
3 Gd 0.819 0.819 0.000
4 Ta 0.429 0.429 0.000
5 Ta 0.571 0.571 0.000
6 O 0.099 0.599 0.500
7 O 0.293 0.293 0.000
8 O 0.401 0.901 0.500
9 O 0.599 0.099 0.500
10 O 0.707 0.707 0.000
11 O 0.901 0.401 0.500

DFT total energy: -95.17 eV/cell

---

[6]
Density functional theory data (PBE) for a relaxed structure of TbGdO2.

Lattice parameters (Å, degrees): 3.420 3.420 4.837 90.00 90.00 90.00
Element x y z (fractional)
1 Tb 0.000 0.000 0.000
2 Gd 0.500 0.500 0.500
3 O 0.000 0.000 0.500
4 O 0.500 0.500 0.000

DFT total energy: -30.37 eV/cell

---

| no. | density (Mg/m³) | V (Å³ per cell) |
| --- | --- | --- |
| 1 | 8.52 | 298.0 |
| 2 | 10.96 | 114.6 |
| 3 | 10.33 | 187.5 |
| 4 | 10.34 | 121.5 |
| 5 | 10.37 | 148.9 |
| 6 | 10.22 | 56.6 |